## w
DFT (PBE) results for crystalline K2Os2Cl at its relaxed geometry.

spin magnetization = 1.93 Bohr magnetons per cell

abc: 10.334 10.334 2.684
angles: 90.00 90.00 90.00
Space group P4/mbm (No. 127)
One atom of each set of equivalent atoms:
K1 0.202 0.298 0.000 x4
Os1 0.076 0.576 0.500 x4
Cl1 0.000 0.000 0.000 x2

## x
DFT (PBE) results for crystalline K2Os2Cl at its relaxed geometry.

spin magnetization = 0.00 Bohr magnetons per cell

abc: 3.533 3.533 19.932
angles: 90.00 90.00 90.00
Space group I4/mmm (No. 139)
One atom of each set of equivalent atoms:
K1 0.000 0.000 0.097 x4
Os1 0.000 0.500 0.250 x4
Cl1 0.000 0.000 0.500 x2

Sorted by energy, starting with the most stable: x, w.

## w
DFT (PBE) results for crystalline KOsCl at its relaxed geometry.

spin magnetization = 16.03 Bohr magnetons per cell

abc: 7.256 7.256 7.256
angles: 90.00 90.00 90.00
Space group F-43m (No. 216)
One atom of each set of equivalent atoms:
K1 0.000 0.000 0.000 x4
Os1 0.000 0.000 0.500 x4
Cl1 0.250 0.250 0.750 x4

## x
DFT (PBE) results for crystalline KOsCl at its relaxed geometry.

spin magnetization = 16.04 Bohr magnetons per cell

abc: 7.348 7.348 7.348
angles: 90.00 90.00 90.00
Space group F-43m (No. 216)
One atom of each set of equivalent atoms:
K1 0.000 0.000 0.000 x4
Os1 0.250 0.250 0.250 x4
Cl1 0.000 0.000 0.500 x4

## y
DFT (PBE) results for crystalline KOsCl at its relaxed geometry.

spin magnetization = 2.24 Bohr magnetons per cell

abc: 3.1163 3.1163 7.3885
angles: 90.00 90.00 120.00
Space group P3m1 (No. 156)
One atom of each set of equivalent atoms:
K1 0.0000 0.0000 0.0000 x1
Os1 0.3333 0.6667 0.3882 x1
Cl1 0.6667 0.3333 0.6754 x1

Sorted by energy, starting with the most stable: y, w, x.